a.
DFT (PBE) results for a geometry-optimized Sb2Ir2O5 structure.

Unit cell a=3.9214 b=3.9214 c=7.1122 alpha=90.00 beta=90.00 gamma=90.00
Positions (direct):
Sb 0.0000 0.0000 0.0000
Sb 0.0000 0.0000 0.5000
Ir 0.5000 0.5000 0.1952
Ir 0.5000 0.5000 0.8048
O 0.0000 0.5000 0.2601
O 0.0000 0.5000 0.7399
O 0.5000 0.0000 0.2601
O 0.5000 0.0000 0.7399
O 0.5000 0.5000 0.5000

Calculated values
* mass density: 10.75 Mg/m³
* SG: P4/mmm, No. 123
* total magnetization: 0.0 μB per formula unit



b.
DFT (PBE) results for a geometry-optimized Sb2Ir2O5 structure.

Unit cell a=4.1832 b=4.1832 c=6.7651 alpha=90.00 beta=90.00 gamma=90.00
Positions (direct):
Sb 0.0000 0.0000 0.2120
Sb 0.0000 0.0000 0.7880
Ir 0.5000 0.5000 0.0000
Ir 0.5000 0.5000 0.5000
O 0.0000 0.0000 0.5000
O 0.0000 0.5000 0.2110
O 0.0000 0.5000 0.7890
O 0.5000 0.0000 0.2110
O 0.5000 0.0000 0.7890

Calculated values
* mass density: 9.93 Mg/m³
* SG: P4/mmm, No. 123
* total magnetization: 4.1 μB per formula unit



The most stable arrangement is a, and the next structure is 56.6 kJ/mol of atoms less stable.



a.
DFT (PBE) results for a geometry-optimized Sm2Ir2O5 structure.

Unit cell a=3.9433 b=3.9433 c=7.0808 alpha=90.00 beta=90.00 gamma=90.00
Positions (direct):
Sm 0.0000 0.0000 0.0000
Sm 0.0000 0.0000 0.5000
Ir 0.5000 0.5000 0.1910
Ir 0.5000 0.5000 0.8090
O 0.0000 0.5000 0.2484
O 0.0000 0.5000 0.7516
O 0.5000 0.0000 0.2484
O 0.5000 0.0000 0.7516
O 0.5000 0.5000 0.5000

Calculated values
* mass density: 11.54 Mg/m³
* SG: P4/mmm, No. 123
* total magnetization: 0.0 μB per formula unit



b.
DFT (PBE) results for a geometry-optimized Sm2Ir2O5 structure.

Unit cell a=3.6246 b=3.6246 c=9.5098 alpha=90.00 beta=90.00 gamma=90.00
Positions (direct):
Sm 0.0000 0.0000 0.2342
Sm 0.0000 0.0000 0.7658
Ir 0.5000 0.5000 0.0000
Ir 0.5000 0.5000 0.5000
O 0.0000 0.0000 0.0000
O 0.0000 0.5000 0.3774
O 0.0000 0.5000 0.6226
O 0.5000 0.0000 0.3774
O 0.5000 0.0000 0.6226

Calculated values
* mass density: 10.17 Mg/m³
* SG: P4/mmm, No. 123
* total magnetization: 0.6 μB per formula unit



The most stable arrangement is a, and the next structure is 41.8 kJ/mol of atoms less stable.



a.
DFT (PBE) results for a geometry-optimized Sn2Ir2O5 structure.

Unit cell a=3.9638 b=3.9638 c=7.0205 alpha=90.00 beta=90.00 gamma=90.00
Positions (direct):
Sn 0.0000 0.0000 0.0000
Sn 0.0000 0.0000 0.5000
Ir 0.5000 0.5000 0.1964
Ir 0.5000 0.5000 0.8036
O 0.0000 0.5000 0.2521
O 0.0000 0.5000 0.7479
O 0.5000 0.0000 0.2521
O 0.5000 0.0000 0.7479
O 0.5000 0.5000 0.5000

Calculated values
* mass density: 10.57 Mg/m³
* SG: P4/mmm, No. 123
* total magnetization: 0.1 μB per formula unit



b.
DFT (PBE) results for a geometry-optimized Sn2Ir2O5 structure.

Unit cell a=3.4861 b=3.4861 c=9.3221 alpha=90.00 beta=90.00 gamma=90.00
Positions (direct):
Sn 0.0000 0.0000 0.2282
Sn 0.0000 0.0000 0.7718
Ir 0.5000 0.5000 0.0000
Ir 0.5000 0.5000 0.5000
O 0.0000 0.0000 0.0000
O 0.0000 0.5000 0.3722
O 0.0000 0.5000 0.6278
O 0.5000 0.0000 0.3722
O 0.5000 0.0000 0.6278

Calculated values
* mass density: 10.29 Mg/m³
* SG: P4/mmm, No. 123
* total magnetization: 0.0 μB per formula unit



The most stable arrangement is a, and the next structure is 16.3 kJ/mol of atoms less stable.



a.
DFT (PBE) results for a geometry-optimized SrIr2O6 structure.

Unit cell a=6.9971 b=6.9971 c=6.9971 alpha=60.00 beta=60.00 gamma=60.00
Positions (direct):
Sr 0.1250 0.1250 0.1250
Sr 0.8750 0.8750 0.8750
Ir 0.0000 0.5000 0.5000
Ir 0.5000 0.0000 0.5000
Ir 0.5000 0.5000 0.0000
Ir 0.5000 0.5000 0.5000
O 0.1642 0.1642 0.5858
O 0.1642 0.5858 0.1642
O 0.1642 0.5858 0.5858
O 0.4142 0.4142 0.8358
O 0.4142 0.8358 0.4142
O 0.4142 0.8358 0.8358
O 0.5858 0.1642 0.1642
O 0.5858 0.1642 0.5858
O 0.5858 0.5858 0.1642
O 0.8358 0.4142 0.4142
O 0.8358 0.4142 0.8358
O 0.8358 0.8358 0.4142

Calculated values
* mass density: 7.79 Mg/m³
* SG: Fd-3m, No. 227
* total magnetization: 0.8 μB per formula unit



b.
DFT (PBE) results for a geometry-optimized SrIr2O6 structure.

Unit cell a=5.3187 b=5.3187 c=5.1010 alpha=90.00 beta=90.00 gamma=120.00
Positions (direct):
Sr 0.0000 0.0000 0.0000
Ir 0.3333 0.6667 0.5000
Ir 0.6667 0.3333 0.5000
O 0.0000 0.3784 0.7068
O 0.0000 0.6216 0.2932
O 0.3784 0.0000 0.7068
O 0.3784 0.3784 0.2932
O 0.6216 0.0000 0.2932
O 0.6216 0.6216 0.7068

Calculated values
* mass density: 7.55 Mg/m³
* SG: P-31m, No. 162
* total magnetization: 2.0 μB per formula unit



The most stable arrangement is b, and the next structure is 9.8 kJ/mol of atoms less stable.